{
  "formula": "PmTh2ReC4",
  "functional": "PBE-GGA",
  "state": "optimized geometry",
  "final_energy_ev_per_atom": -8.664,
  "formation_enthalpy_0k_mev_per_atom": -47,
  "m_tot_mub_per_cell": 0.0,
  "lattice_angstrom": [[-2.0301, 1.2147, -2.7606], [-3.7006, -4.0756, 3.3221], [-4.1100, 9.6605, 7.2733]],
  "species": ["C", "Re", "Pm", "C", "Th", "C", "C", "C", "Th", "C", "Th", "Pm", "C", "Re", "C", "Th"],
  "fractional_positions": [[0.0000, 0.0000, 0.5000], [0.8332, 0.6664, 0.7500], [0.8996, 0.7993, 0.2500], [0.2658, 0.5315, 0.1344], [0.6323, 0.2646, 0.0396], [0.5878, 0.1756, 0.2500], [0.7342, 0.4685, 0.8656], [0.4122, 0.8244, 0.7500], [0.6323, 0.2646, 0.4604], [0.7342, 0.4685, 0.6344], [0.3677, 0.7354, 0.9604], [0.1004, 0.2007, 0.7500], [0.0000, 0.0000, 0.0000], [0.1668, 0.3336, 0.2500], [0.2658, 0.5315, 0.3656], [0.3677, 0.7354, 0.5396]]
}